# Y2CdPb

A relaxed structure of Y2CdPb (PBE, Alexandria).

Output
As for the magnetization: 0.00 μB/cell. The formation energy comes out at -9.4 kcal/mol of atoms. The mass density comes out at 7.63 g/cm³. The electronic total energy comes out at -38.36 eV for the cell shown.

Cell and atoms, written as CIF:
```
data_Y2CdPb
_cell_length_a 7.112
_cell_length_b 8.651
_cell_length_c 3.521
_cell_angle_alpha 90.00
_cell_angle_beta 90.00
_cell_angle_gamma 90.00
_space_group_name_H-M_alt 'C m m m'
_space_group_IT_number 65
_space_group_name_Hall '-C 2 2'
loop_
_atom_site_label
_atom_site_fract_x
_atom_site_fract_y
_atom_site_fract_z
_atom_site_occupancy
Y1 0.250 0.250 0.000 1
Cd1 0.000 0.000 0.500 1
Pb1 0.000 0.500 0.500 1
```

# Y5Cd4Pb

A relaxed structure of Y5Cd4Pb (PBE, Alexandria).

Output
As for the magnetization: 0.00 μB/cell. The formation energy comes out at -8.7 kcal/mol of atoms. The mass density comes out at 6.83 g/cm³. The electronic total energy comes out at -43.46 eV for the cell shown.

Cell and atoms, written as CIF:
```
data_Y5Cd4Pb
_cell_length_a 3.770
_cell_length_b 3.770
_cell_length_c 18.828
_cell_angle_alpha 90.00
_cell_angle_beta 90.00
_cell_angle_gamma 90.00
_space_group_name_H-M_alt 'P 4/m m m'
_space_group_IT_number 123
_space_group_name_Hall '-P 4 2'
loop_
_atom_site_label
_atom_site_fract_x
_atom_site_fract_y
_atom_site_fract_z
_atom_site_occupancy
Y1 0.000 0.000 0.000 1
Y2 0.000 0.000 0.198 1
Y3 0.000 0.000 0.394 1
Cd1 0.500 0.500 0.100 1
Cd2 0.500 0.500 0.293 1
Pb1 0.500 0.500 0.500 1
```